Compound: CuRh
Source: Alexandria
Functional: PBE-GGA
Structure: optimized geometry

It has space group I4_1/amd (No. 141, origin choice 2), with a = 3.748 Å, b = 3.748 Å, c = 7.539 Å, α = 90.00°, β = 90.00° and γ = 90.00°. Symmetry generates all atoms from Cu at (0.000, 0.250, 0.375) and Rh at (0.000, 0.250, 0.875).

The total energy comes out at -5.66 eV per atom.

***

Compound: VAsSBr2
Source: Alexandria
Functional: PBE-GGA
Structure: optimized geometry

It has space group P4/mmm (No. 123), with a = 5.022 Å, b = 5.022 Å, c = 4.966 Å, α = 90.00°, β = 90.00° and γ = 90.00°. Symmetry generates all atoms from V at (0.000, 0.000, 0.000), As at (0.500, 0.500, 0.000), S at (0.500, 0.500, 0.500) and Br at (0.000, 0.500, 0.500).

The formation energy without anion corrections is 1.0858 eV/atom. As for the energy relative to the lowest polymorph listed for this composition: 751 meV/atom.

***

Compound: HPt2Se
Source: Alexandria
Functional: PBE-GGA
Structure: optimized geometry

It has space group Fm-3m (No. 225), with a = 6.086 Å, b = 6.086 Å, c = 6.086 Å, α = 90.00°, β = 90.00° and γ = 90.00°. Symmetry generates all atoms from H at (0.000, 0.000, 0.000), Pt at (0.250, 0.250, 0.250) and Se at (0.000, 0.000, 0.500).

As for the energy relative to the lowest polymorph listed for this composition: 590 meV/atom.

***

Compound: K3OsCl7
Source: Alexandria
Functional: PBE-GGA
Structure: optimized geometry

It has space group Cm (No. 8), with a = 9.323 Å, b = 9.813 Å, c = 7.771 Å, α = 90.00°, β = 105.43° and γ = 90.00°. Symmetry generates all atoms from K at (0.000, 0.000, 0.000), K at (0.472, 0.223, 0.447), Os at (0.014, 0.500, 0.956), Cl at (0.088, 0.000, 0.404), Cl at (0.160, 0.500, 0.744), Cl at (0.167, 0.332, 0.129), Cl at (0.363, 0.000, 0.155) and Cl at (0.365, 0.173, 0.794).

The formation energy without anion corrections is -1.2324 eV/atom.

***

| no. | magnetization (μB per cell) |
| --- | --- |
| 1 | 0.03 |
| 2 | 0.15 |
| 3 | 0.00 |
| 4 | 4.00 |